Density functional theory data (PBE) for a relaxed Ho3Ga2Cu7 crystal.

abc: 3.941 3.941 13.732
angles: 98.25 98.25 90.00
Fractional coordinates of all 12 atoms:
Ho: 0.327 0.327 0.654
Ho: 0.673 0.673 0.346
Ho: 0.500 0.500 0.000
Ga: 0.131 0.131 0.262
Ga: 0.869 0.869 0.738
Cu: 0.000 0.000 0.000
Cu: 0.924 0.424 0.848
Cu: 0.424 0.924 0.848
Cu: 0.076 0.576 0.152
Cu: 0.576 0.076 0.152
Cu: 0.224 0.224 0.448
Cu: 0.776 0.776 0.552

Results
VASP energy in eV per atom: -4.193
SG: I4/mmm (139)
Size of the total moment in μB per formula unit: 0.00